Li2Zn2Cd | GGA-PBE | relaxed

Values from the calculation:
energy above the lowest structure with this stoichiometry	0.000	eV/atom
D(E_F)	2.20	states/eV per cell
final energy	-1.645	eV per atom
total moment	0.0	μB/cell
density	5.2	g/cm³
energy of formation	-0.19	eV/atom

Unit cell a=5.2715 b=5.2715 c=7.8800 alpha=104.92 beta=104.92 gamma=50.82
Positions (direct):
1 Li 0.0616 0.5653 0.8532
2 Li 0.4347 0.9384 0.6468
3 Li 0.5653 0.0616 0.3532
4 Li 0.9384 0.4347 0.1468
5 Zn 0.1426 0.6384 0.5453
6 Zn 0.3616 0.8574 0.9547
7 Zn 0.6384 0.1426 0.0453
8 Zn 0.8574 0.3616 0.4547
9 Cd 0.2484 0.7516 0.2500
10 Cd 0.7516 0.2484 0.7500

=====

Li2Zn4Cd5 | GGA-PBE | relaxed

Values from the calculation:
D(E_F)	3.59	states/eV per cell
final energy	-1.246	eV per atom
total moment	0.0	μB/cell
density	6.3	g/cm³
energy of formation	-0.02	eV/atom

Unit cell a=6.5454 b=6.5454 c=8.4589 alpha=124.54 beta=124.54 gamma=51.51
Positions (direct):
1 Li 0.2282 0.2282 0.2582
2 Li 0.7718 0.7718 0.7418
3 Zn 0.2480 0.2480 0.6148
4 Zn 0.2533 0.2533 0.9488
5 Zn 0.7467 0.7467 0.0512
6 Zn 0.7520 0.7520 0.3852
7 Cd 0.2504 0.7476 0.6803
8 Cd 0.2524 0.7496 0.3197
9 Cd 0.5000 0.5000 0.0000
10 Cd 0.7476 0.2504 0.6803
11 Cd 0.7496 0.2524 0.3197

=====

Li3Zn2Cd | GGA-PBE | relaxed

Values from the calculation:
energy above the lowest structure with this stoichiometry	0.033	eV/atom
D(E_F)	2.41	states/eV per cell
final energy	-1.704	eV per atom
total moment	0.0	μB/cell
density	4.5	g/cm³
energy of formation	-0.17	eV/atom

Unit cell a=3.0062 b=3.0062 c=10.8810 alpha=90.00 beta=90.00 gamma=90.00
Positions (direct):
1 Li 0.0000 0.0000 0.0000
2 Li 0.0000 0.0000 0.3107
3 Li 0.0000 0.0000 0.6893
4 Zn 0.5000 0.5000 0.1501
5 Zn 0.5000 0.5000 0.8499
6 Cd 0.5000 0.5000 0.5000

=====

Li3ZnCd2 | GGA-PBE | relaxed

Values from the calculation:
energy above the lowest structure with this stoichiometry	0.038	eV/atom
D(E_F)	2.69	states/eV per cell
final energy	-1.620	eV per atom
total moment	0.0	μB/cell
density	4.5	g/cm³
energy of formation	-0.15	eV/atom

Unit cell a=8.2532 b=8.2532 c=5.2011 alpha=90.00 beta=90.00 gamma=39.92
Positions (direct):
1 Li 0.0323 0.3263 0.7436
2 Li 0.1042 0.8958 0.5000
3 Li 0.3263 0.0323 0.2436
4 Li 0.6737 0.9677 0.7436
5 Li 0.8958 0.1042 0.0000
6 Li 0.9677 0.6737 0.2436
7 Zn 0.3824 0.6176 0.0687
8 Zn 0.6176 0.3824 0.5687
9 Cd 0.2071 0.5104 0.7486
10 Cd 0.4896 0.7929 0.7486
11 Cd 0.5104 0.2071 0.2486
12 Cd 0.7929 0.4896 0.2486

=====

Li7Zn3Cd | GGA-PBE | relaxed

Values from the calculation:
energy above the lowest structure with this stoichiometry	0.000	eV/atom
D(E_F)	7.09	states/eV per cell
final energy	-1.744	eV per atom
total moment	0.0	μB/cell
density	3.1	g/cm³
energy of formation	-0.10	eV/atom

Unit cell a=10.8524 b=10.8524 c=12.5179 alpha=90.00 beta=90.00 gamma=165.02
Positions (direct):
1 Li 0.0496 0.9504 0.5724
2 Li 0.0496 0.9504 0.9276
3 Li 0.0905 0.9095 0.1303
4 Li 0.0905 0.9095 0.3697
5 Li 0.1470 0.8530 0.7500
6 Li 0.2352 0.7648 0.1084
7 Li 0.2352 0.7648 0.3916
8 Li 0.7648 0.2352 0.6084
9 Li 0.7648 0.2352 0.8916
10 Li 0.8530 0.1470 0.2500
11 Li 0.9095 0.0905 0.6303
12 Li 0.9095 0.0905 0.8697
13 Li 0.9504 0.0496 0.0724
14 Li 0.9504 0.0496 0.4276
15 Zn 0.3303 0.6697 0.7500
16 Zn 0.3465 0.6535 0.0269
17 Zn 0.3465 0.6535 0.4731
18 Zn 0.6535 0.3465 0.5269
19 Zn 0.6535 0.3465 0.9731
20 Zn 0.6697 0.3303 0.2500
21 Cd 0.4949 0.5051 0.2500
22 Cd 0.5051 0.4949 0.7500

=====

LiZnCd2 | GGA-PBE | relaxed

Values from the calculation:
D(E_F)	0.63	states/eV per cell
final energy	-1.377	eV per atom
total moment	0.0	μB/cell
density	6.7	g/cm³
energy of formation	-0.12	eV/atom

Unit cell a=3.1900 b=3.6264 c=6.3570 alpha=90.00 beta=90.00 gamma=90.00
Positions (direct):
1 Li 0.0000 0.0000 0.0000
2 Zn 0.5000 0.5000 0.2102
3 Cd 0.0000 0.0000 0.4625
4 Cd 0.5000 0.5000 0.7603

=====

LiZnCd2 | GGA-PBE | relaxed

Values from the calculation:
D(E_F)	0.65	states/eV per cell
final energy	-1.381	eV per atom
total moment	0.0	μB/cell
density	6.7	g/cm³
energy of formation	-0.13	eV/atom

Unit cell a=3.2184 b=3.6148 c=6.3147 alpha=90.00 beta=90.00 gamma=90.00
Positions (direct):
1 Li 0.0000 0.0000 0.0000
2 Zn 0.0000 0.0000 0.5000
3 Cd 0.5000 0.5000 0.2417
4 Cd 0.5000 0.5000 0.7583

=====

LiZnCd5 | GGA-PBE | relaxed

Values from the calculation:
D(E_F)	3.50	states/eV per cell
final energy	-0.858	eV per atom
total moment	0.0	μB/cell
density	5.2	g/cm³
energy of formation	0.25	eV/atom

Unit cell a=6.9249 b=6.9249 c=6.9249 alpha=112.64 beta=83.79 gamma=136.33
Positions (direct):
1 Li 0.0000 0.0000 0.0000
2 Zn 0.2661 0.7661 0.5000
3 Cd 0.0454 0.8007 0.2447
4 Cd 0.4861 0.4861 0.0000
5 Cd 0.5560 0.8007 0.7553
6 Cd 0.7755 0.0937 0.3182
7 Cd 0.7755 0.4573 0.6818